Entry 1:
Here is an optimized crystal structure of B3PAu from Alexandria. Energies are from GGA-PBE.

formation enthalpy at 0 K = 1431 meV per atom
total moment = 0.00 μB per cell
calculated density = 7136 kg/m3
offset from the most stable computed form = 0 meV per atom

a b c (Å): 3.9275 3.9275 3.9275
angles (deg): 90.00 90.00 90.00
With the nearest neighbours (Å) after each atom.
Sites, in units of the cell vectors:
B1 0.0000 0.0000 0.5000  2 P 1.96
B2 0.0000 0.5000 0.0000  2 P 1.96
B3 0.5000 0.0000 0.0000  2 P 1.96
P1 0.0000 0.0000 0.0000  6 B 1.96
Au1 0.5000 0.5000 0.5000  12 B 2.78

Entry 2:
Here is an optimized crystal structure of CuIrPb from Alexandria. Energies are from GGA-PBE.

formation enthalpy at 0 K = 347 meV per atom
total moment = 0.00 μB per cell
calculated density = 12717 kg/m3
offset from the most stable computed form = 0 meV per atom

a b c (Å): 6.2300 6.2300 6.2300
angles (deg): 90.00 90.00 90.00
With the nearest neighbours (Å) after each atom.
Sites, in units of the cell vectors:
Cu1 0.0000 0.0000 0.0000  4 Ir 2.70
Cu2 0.0000 0.5000 0.5000  4 Ir 2.70
Cu3 0.5000 0.0000 0.5000  4 Ir 2.70
Cu4 0.5000 0.5000 0.0000  4 Ir 2.70
Ir1 0.2500 0.2500 0.7500  4 Cu 2.70, 4 Pb 2.70
Ir2 0.2500 0.7500 0.2500  4 Cu 2.70, 4 Pb 2.70
Ir3 0.7500 0.2500 0.2500  4 Cu 2.70, 4 Pb 2.70
Ir4 0.7500 0.7500 0.7500  4 Cu 2.70, 4 Pb 2.70
Pb1 0.0000 0.0000 0.5000  4 Ir 2.70
Pb2 0.0000 0.5000 0.0000  4 Ir 2.70
Pb3 0.5000 0.0000 0.0000  4 Ir 2.70
Pb4 0.5000 0.5000 0.5000  4 Ir 2.70

Entry 3:
Here is an optimized crystal structure of ErNbClO4 from Alexandria. Energies are from GGA-PBE.

total moment = 0.00 μB per cell
calculated density = 4433 kg/m3
ΔE_f (raw) = -2.518 eV/atom

a b c (Å): 6.8000 6.8000 7.0016
angles (deg): 102.60 102.60 59.29
With the nearest neighbours (Å) after each atom.
Sites, in units of the cell vectors:
Er1 0.2134 0.2134 0.3595  4 O 2.16-2.25
Er2 0.7866 0.7866 0.6405  4 O 2.16-2.25
Nb1 0.1382 0.1382 0.7762  4 O 1.84-1.90
Nb2 0.8618 0.8618 0.2238  4 O 1.84-1.90
Cl1 0.4783 0.4783 0.6286  1 Cl 1.99
Cl2 0.5217 0.5217 0.3714  1 Cl 1.99
O1 0.0099 0.5985 0.3593  1 Nb 1.90
O2 0.0249 0.0249 0.2766  1 Nb 1.87
O3 0.2065 0.2065 0.0437  1 Nb 1.84
O4 0.4015 0.9901 0.6407  1 Nb 1.90
O5 0.5985 0.0099 0.3593  1 Nb 1.90
O6 0.7935 0.7935 0.9563  1 Nb 1.84
O7 0.9751 0.9751 0.7234  1 Nb 1.87
O8 0.9901 0.4015 0.6407  1 Nb 1.90

Entry 4:
Here is an optimized crystal structure of Np2Ga6Pd from Alexandria. Energies are from GGA-PBE.

formation enthalpy at 0 K = -279 meV per atom
total moment = 8.30 μB per cell
calculated density = 9807 kg/m3

a b c (Å): 5.9382 5.9382 5.5379
angles (deg): 90.00 90.00 120.00
With the nearest neighbours (Å) after each atom.
Sites, in units of the cell vectors:
Np1 0.3333 0.6667 0.3302  12 Ga 3.08-3.26
Np2 0.6667 0.3333 0.6698  12 Ga 3.08-3.26
Ga1 0.1783 0.3566 0.8174  1 Pd 2.54, 4 Ga 2.73-2.76
Ga2 0.1783 0.8217 0.8174  1 Pd 2.54, 4 Ga 2.73-2.76
Ga3 0.3566 0.1783 0.1826  1 Pd 2.54, 4 Ga 2.73-2.76
Ga4 0.6434 0.8217 0.8174  1 Pd 2.54, 4 Ga 2.73-2.76
Ga5 0.8217 0.1783 0.1826  1 Pd 2.54, 4 Ga 2.73-2.76
Ga6 0.8217 0.6434 0.1826  1 Pd 2.54, 4 Ga 2.73-2.76
Pd1 0.0000 0.0000 0.5000  6 Ga 2.54

Entry 5:
Here is an optimized crystal structure of Er3TmZr2N6 from Alexandria. Energies are from GGA-PBE.

total moment = 0.00 μB per cell
calculated density = 9698 kg/m3
ΔE_f (raw) = -1.789 eV/atom

a b c (Å): 7.5067 7.5067 6.7264
angles (deg): 103.12 103.12 25.80
With the nearest neighbours (Å) after each atom.
Sites, in units of the cell vectors:
Er1 0.0000 0.0000 0.0000  6 N 2.38-2.42
Er2 0.3334 0.3334 0.6667  6 N 2.37-2.44
Er3 0.6666 0.6666 0.3333  6 N 2.37-2.44
Tm1 0.0000 0.0000 0.5000  6 N 2.37-2.38
Zr1 0.3332 0.3332 0.1660  6 N 2.30-2.33
Zr2 0.6668 0.6668 0.8340  6 N 2.30-2.33
N1 0.1671 0.1671 0.5939  2 Zr 2.33, 3 Er 2.37-2.42, 1 Tm 2.38
N2 0.1699 0.1699 0.0765  3 Zr 2.33, 3 Er 2.42
N3 0.4951 0.4951 0.2484  1 Zr 2.30, 2 Tm 2.37, 3 Er 2.38-2.44
N4 0.5049 0.5049 0.7516  1 Zr 2.30, 2 Tm 2.37, 3 Er 2.38-2.44
N5 0.8301 0.8301 0.9235  3 Zr 2.33, 3 Er 2.42
N6 0.8329 0.8329 0.4061  2 Zr 2.33, 3 Er 2.37-2.42, 1 Tm 2.38

Entry 6:
Here is an optimized crystal structure of KSn2F5 from Alexandria. Energies are from GGA-PBE.

total moment = 0.00 μB per cell
calculated density = 4103 kg/m3
offset from the most stable computed form = 16 meV per atom
ΔE_f (raw) = -2.449 eV/atom

a b c (Å): 4.4928 4.4956 7.9915
angles (deg): 76.33 73.91 89.88
With the nearest neighbours (Å) after each atom.
Sites, in units of the cell vectors:
K1 0.0000 0.0000 0.0000  8 F 2.81-2.83
Sn1 0.3527 0.3726 0.2988  5 F 2.22-2.31
Sn2 0.6473 0.6274 0.7012  5 F 2.22-2.31
F1 0.1126 0.5989 0.7712  2 Sn 2.30-2.31
F2 0.3871 0.9037 0.2291  2 Sn 2.30-2.31
F3 0.5000 0.5000 0.0000  2 Sn 2.22
F4 0.6129 0.0963 0.7709  2 Sn 2.30-2.31
F5 0.8874 0.4011 0.2288  2 Sn 2.30-2.31

Entry 7:
Here is an optimized crystal structure of ScRhC3 from Alexandria. Energies are from GGA-PBE.

formation enthalpy at 0 K = 1622 meV per atom
total moment = 0.00 μB per cell
calculated density = 4876 kg/m3
offset from the most stable computed form = 0 meV per atom

a b c (Å): 3.9710 3.9710 3.9710
angles (deg): 90.00 90.00 90.00
With the nearest neighbours (Å) after each atom.
Sites, in units of the cell vectors:
Sc1 0.0000 0.0000 0.0000  12 C 2.81
Rh1 0.5000 0.5000 0.5000  6 C 1.99
C1 0.0000 0.5000 0.5000  2 Rh 1.99
C2 0.5000 0.0000 0.5000  2 Rh 1.99
C3 0.5000 0.5000 0.0000  2 Rh 1.99

Entry 8:
Here is an optimized crystal structure of La2NbCr2 from Alexandria. Energies are from GGA-PBE.

formation enthalpy at 0 K = 1073 meV per atom
total moment = 12.86 μB per cell
calculated density = 6108 kg/m3
offset from the most stable computed form = 165 meV per atom

a b c (Å): 4.0038 4.0038 16.1019
angles (deg): 90.00 90.00 90.00
With the nearest neighbours (Å) after each atom.
Sites, in units of the cell vectors:
La1 0.0000 0.0000 0.1019  4 Cr 3.11, 4 Nb 3.27, 1 La 3.28
La2 0.0000 0.0000 0.8981  4 Cr 3.11, 4 Nb 3.27, 1 La 3.28
La3 0.5000 0.5000 0.3981  4 Cr 3.11, 4 Nb 3.27, 1 La 3.28
La4 0.5000 0.5000 0.6019  4 Cr 3.11, 4 Nb 3.27, 1 La 3.28
Nb1 0.0000 0.0000 0.5000  8 La 3.27
Nb2 0.5000 0.5000 0.0000  8 La 3.27
Cr1 0.0000 0.5000 0.2500  4 Cr 2.83, 4 La 3.11
Cr2 0.0000 0.5000 0.7500  4 Cr 2.83, 4 La 3.11
Cr3 0.5000 0.0000 0.2500  4 Cr 2.83, 4 La 3.11
Cr4 0.5000 0.0000 0.7500  4 Cr 2.83, 4 La 3.11

Entry 9:
Here is an optimized crystal structure of CaAlTcF2 from Alexandria. Energies are from GGA-PBE.

total moment = 2.37 μB per cell
calculated density = 3876 kg/m3
ΔE_f (raw) = -0.892 eV/atom

a b c (Å): 3.9730 3.9730 5.5113
angles (deg): 90.00 90.00 90.00
With the nearest neighbours (Å) after each atom.
Sites, in units of the cell vectors:
Ca1 0.0000 0.0000 0.0000  4 Tc 2.81
Al1 0.5000 0.5000 0.5000  4 F 1.99
Tc1 0.5000 0.5000 0.0000  2 Al 2.76, 4 Ca 2.81
F1 0.0000 0.5000 0.5000  2 Al 1.99
F2 0.5000 0.0000 0.5000  2 Al 1.99

Entry 10:
Here is an optimized crystal structure of Na2MgMnCl6 from Alexandria. Energies are from GGA-PBE.

total moment = 5.00 μB per cell
calculated density = 2425 kg/m3
ΔE_f (raw) = -1.578 eV/atom

a b c (Å): 7.0371 7.0371 7.0371
angles (deg): 57.35 57.35 57.35
With the nearest neighbours (Å) after each atom.
Sites, in units of the cell vectors:
Na1 0.0000 0.0000 0.0000  6 Cl 2.77-2.89
Na2 0.4986 0.4986 0.4986  6 Cl 2.77-2.91
Mg1 0.7069 0.7069 0.7069  6 Cl 2.51-2.58
Mn1 0.2075 0.2075 0.2075  6 Cl 2.52-2.61
Cl1 0.0632 0.8421 0.4428  1 Mg 2.51, 1 Mn 2.61, 1 Na 2.77
Cl2 0.3436 0.5649 0.9410  1 Mn 2.52, 1 Mg 2.58, 1 Na 2.77
Cl3 0.4428 0.0632 0.8421  1 Mg 2.51, 1 Mn 2.61, 1 Na 2.77
Cl4 0.5649 0.9410 0.3436  1 Mn 2.52, 1 Mg 2.58, 1 Na 2.77
Cl5 0.8421 0.4428 0.0632  1 Mg 2.51, 1 Mn 2.61, 1 Na 2.77
Cl6 0.9410 0.3436 0.5649  1 Mn 2.52, 1 Mg 2.58, 1 Na 2.77

Entry 11:
Here is an optimized crystal structure of CePmTm2 from Alexandria. Energies are from GGA-PBE.

formation enthalpy at 0 K = 142 meV per atom
total moment = 2.44 μB per cell
calculated density = 8154 kg/m3
offset from the most stable computed form = 91 meV per atom

a b c (Å): 7.9763 7.9763 7.9763
angles (deg): 90.00 90.00 90.00
With the nearest neighbours (Å) after each atom.
Sites, in units of the cell vectors:
Ce1 0.0000 0.0000 0.0000  8 Tm 3.45
Ce2 0.0000 0.5000 0.5000  8 Tm 3.45
Ce3 0.5000 0.0000 0.5000  8 Tm 3.45
Ce4 0.5000 0.5000 0.0000  8 Tm 3.45
Pm1 0.0000 0.0000 0.5000  8 Tm 3.45
Pm2 0.0000 0.5000 0.0000  8 Tm 3.45
Pm3 0.5000 0.0000 0.0000  8 Tm 3.45
Pm4 0.5000 0.5000 0.5000  8 Tm 3.45
Tm1 0.2500 0.2500 0.2500  4 Ce 3.45, 4 Pm 3.45
Tm2 0.2500 0.2500 0.7500  4 Ce 3.45, 4 Pm 3.45
Tm3 0.2500 0.7500 0.2500  4 Ce 3.45, 4 Pm 3.45
Tm4 0.2500 0.7500 0.7500  4 Ce 3.45, 4 Pm 3.45
Tm5 0.7500 0.2500 0.2500  4 Ce 3.45, 4 Pm 3.45
Tm6 0.7500 0.2500 0.7500  4 Ce 3.45, 4 Pm 3.45
Tm7 0.7500 0.7500 0.2500  4 Ce 3.45, 4 Pm 3.45
Tm8 0.7500 0.7500 0.7500  4 Ce 3.45, 4 Pm 3.45

Entry 12:
Here is an optimized crystal structure of W5Se3 from Alexandria. Energies are from GGA-PBE.

total moment = 0.00 μB per cell
calculated density = 14688 kg/m3
offset from the most stable computed form = 188 meV per atom
ΔE_f (raw) = 0.828 eV/atom

a b c (Å): 7.1454 7.1454 5.9119
angles (deg): 90.00 90.00 120.00
With the nearest neighbours (Å) after each atom.
Sites, in units of the cell vectors:
W1 0.0000 0.2191 0.2500  3 Se 2.55-2.64, 2 W 2.71
W2 0.0000 0.7809 0.7500  3 Se 2.55-2.64, 2 W 2.71
W3 0.2191 0.0000 0.2500  3 Se 2.55-2.64, 2 W 2.71
W4 0.2191 0.2191 0.7500  3 Se 2.55-2.64, 2 W 2.71
W5 0.3333 0.6667 0.0000  6 Se 2.61
W6 0.3333 0.6667 0.5000  6 Se 2.61
W7 0.6667 0.3333 0.0000  6 Se 2.61
W8 0.6667 0.3333 0.5000  6 Se 2.61
W9 0.7809 0.0000 0.7500  3 Se 2.55-2.64, 2 W 2.71
W10 0.7809 0.7809 0.2500  3 Se 2.55-2.64, 2 W 2.71
Se1 0.0000 0.4117 0.7500  7 W 2.55-2.64
Se2 0.0000 0.5883 0.2500  7 W 2.55-2.64
Se3 0.4117 0.0000 0.7500  7 W 2.55-2.64
Se4 0.4117 0.4117 0.2500  7 W 2.55-2.64
Se5 0.5883 0.0000 0.2500  7 W 2.55-2.64
Se6 0.5883 0.5883 0.7500  7 W 2.55-2.64